(1)
Entry from Alexandria via LeMat-Bulk: crystalline Sr3Np2PaAs6 at its relaxed geometry (GGA-PBE).

a = 7.3864 Å, b = 7.3864 Å, c = 7.5256 Å
α = 99.41°, β = 99.41°, γ = 120.00°
Each line ends with the local moment (μB).
Element x y z (fractional)
As  0.9279  0.5984  0.7835  -0.07
As  0.7429  0.7429  0.2165  -0.07
As  0.2571  0.2571  0.7835  -0.07
As  0.5984  0.9279  0.7835  -0.07
As  0.4016  0.0721  0.2165  -0.07
As  0.0721  0.4016  0.2165  -0.07
Sr  0.8325  0.1675  0.5000  -0.01
Sr  0.5000  0.5000  0.5000  -0.01
Sr  0.1675  0.8325  0.5000  -0.01
Pa  0.0000  0.0000  0.0000  -0.01
Np  0.6666  0.3334  0.0000  3.62
Np  0.3334  0.6666  0.0000  3.62

* symmetry: No. 12
* calculated formation energy: -0.998 eV per atom
* raw total energy: -6.69 eV per atom
* DOS(E_F): 1.665 states/eV/atom

***

(2)
Entry from Alexandria via LeMat-Bulk: crystalline RbPb2I2 at its relaxed geometry (GGA-PBE).

a = 6.5787 Å, b = 6.5787 Å, c = 6.9515 Å
α = 61.76°, β = 61.76°, γ = 90.00°
Element x y z (fractional)
I  0.2500  0.7500  0.5000
I  0.7500  0.2500  0.5000
Rb  0.0000  0.0000  0.0000
Pb  0.3497  0.3497  0.3006
Pb  0.6503  0.6503  0.6994

* symmetry: No. 139
* energy above the lowest structure with this stoichiometry: 0.1904 eV per atom
* raw total energy: -2.70 eV per atom
* raw formation energy: -0.40 eV per atom
* DOS(E_F): 0.529 states/eV/atom

***

(3)
Entry from Alexandria via LeMat-Bulk: crystalline ZrTeBr2 at its relaxed geometry (GGA-PBE).

a = 3.8032 Å, b = 7.0611 Å, c = 7.2170 Å
α = 62.82°, β = 90.00°, γ = 90.00°
Element x y z (fractional)
Br  0.0000  0.9087  0.9035
Br  0.5000  0.3266  0.1725
Te  0.0000  0.6037  0.5854
Zr  0.5000  0.6609  0.8386

* symmetry: No. 6
* energy above the lowest structure with this stoichiometry: 0.0346 eV per atom
* raw total energy: -4.81 eV per atom
* raw formation energy: -1.05 eV per atom

***

(4)
Entry from Alexandria via LeMat-Bulk: crystalline K2BaZr at its relaxed geometry (GGA-PBE).

a = 5.3090 Å, b = 5.3090 Å, c = 6.8493 Å
α = 90.00°, β = 90.00°, γ = 90.00°
Each line ends with the local moment (μB).
Element x y z (fractional)
K  0.0000  0.0000  0.0000  0.01
K  0.5000  0.5000  0.0000  0.01
Ba  0.0000  0.5000  0.5000  0.12
Zr  0.5000  0.0000  0.5000  1.35

* symmetry: No. 123
* energy above the lowest structure with this stoichiometry: 0.2509 eV per atom
* calculated formation energy: 0.833 eV per atom
* raw total energy: -2.33 eV per atom
* DOS(E_F): 1.737 states/eV/atom

***

(5)
Entry from Alexandria via LeMat-Bulk: crystalline RbIrAu2 at its relaxed geometry (GGA-PBE).

a = 4.9556 Å, b = 4.9556 Å, c = 4.9556 Å
α = 60.00°, β = 60.00°, γ = 60.00°
Element x y z (fractional)
Ir  0.5000  0.5000  0.5000
Rb  0.0000  0.0000  0.0000
Au  0.2500  0.2500  0.2500
Au  0.7500  0.7500  0.7500

* symmetry: No. 225
* energy above the lowest structure with this stoichiometry: 0.4285 eV per atom
* calculated formation energy: 0.875 eV per atom
* raw total energy: -3.22 eV per atom
* DOS(E_F): 0.239 states/eV/atom

***

(6)
Entry from Alexandria via LeMat-Bulk: crystalline Re3Ir at its relaxed geometry (GGA-PBE).

a = 3.2894 Å, b = 3.2894 Å, c = 5.6038 Å
α = 90.00°, β = 90.00°, γ = 90.00°
Element x y z (fractional)
Re  0.0000  0.0000  0.5000
Re  0.5000  0.5000  0.2377
Re  0.5000  0.5000  0.7623
Ir  0.0000  0.0000  0.0000

* symmetry: No. 123
* calculated formation energy: 0.303 eV per atom
* raw total energy: -11.25 eV per atom
* DOS(E_F): 1.013 states/eV/atom

***

(7)
Entry from Alexandria via LeMat-Bulk: crystalline Sc2ReHPt at its relaxed geometry (GGA-PBE).

a = 4.5584 Å, b = 4.5584 Å, c = 3.4857 Å
α = 90.00°, β = 90.00°, γ = 90.00°
Element x y z (fractional)
H  0.0000  0.0000  0.0000
Pt  0.5000  0.5000  0.5000
Sc  0.5000  0.0000  0.0000
Sc  0.0000  0.5000  0.0000
Re  0.0000  0.0000  0.5000

* symmetry: No. 123
* raw total energy: -7.47 eV per atom
* DOS(E_F): 0.398 states/eV/atom

***

(8)
Entry from Alexandria via LeMat-Bulk: crystalline Y2TcN at its relaxed geometry (GGA-PBE).

a = 3.3282 Å, b = 3.3282 Å, c = 8.3863 Å
α = 78.55°, β = 78.55°, γ = 60.00°
Each line ends with the local moment (μB).
Element x y z (fractional)
Y  0.8902  0.8902  0.3295  -0.10
Y  0.1098  0.1098  0.6705  -0.10
Tc  0.0000  0.0000  0.0000  1.05
N  0.5000  0.5000  0.5000  0.01

* symmetry: No. 166
* raw total energy: -8.07 eV per atom
* raw formation energy: -0.16 eV per atom
* DOS(E_F): 0.874 states/eV/atom

***

(9)
Entry from Alexandria via LeMat-Bulk: crystalline LiGa2Ge at its relaxed geometry (GGA-PBE).

a = 7.9618 Å, b = 7.9618 Å, c = 6.1688 Å
α = 49.81°, β = 49.81°, γ = 90.00°
Element x y z (fractional)
Ga  0.6870  0.1250  0.2500
Ga  0.0630  0.6250  0.2500
Ga  0.3750  0.3130  0.7500
Ga  0.8750  0.9370  0.7500
Li  0.5000  0.5000  0.0000
Li  0.2500  0.7500  0.5000
Ge  0.7500  0.2500  0.5000
Ge  0.0000  0.0000  0.0000

* symmetry: No. 122
* calculated formation energy: -0.033 eV per atom
* raw total energy: -3.18 eV per atom
* DOS(E_F): 0.351 states/eV/atom

***

(10)
Entry from Alexandria via LeMat-Bulk: crystalline Dy2Ga2Ge3 at its relaxed geometry (GGA-PBE).

a = 7.3637 Å, b = 7.3637 Å, c = 7.3637 Å
α = 109.47°, β = 109.47°, γ = 109.47°
Element x y z (fractional)
Ga  0.0000  0.0000  0.8754
Ga  0.3754  0.5000  0.0000
Ga  0.5000  0.8754  0.5000
Ga  0.1246  0.6246  0.6246
Ge  0.4904  0.2404  0.7500
Ge  0.7500  0.5096  0.2596
Ge  0.0096  0.2596  0.2500
Ge  0.7404  0.7500  0.9904
Ge  0.2500  0.9904  0.2404
Ge  0.7596  0.2500  0.5096
Dy  0.5000  0.4831  0.5000
Dy  0.5169  0.0169  0.0169
Dy  0.0000  0.0000  0.4831
Dy  0.9831  0.5000  0.0000

* symmetry: No. 199
* calculated formation energy: -0.412 eV per atom
* raw total energy: -4.57 eV per atom
* DOS(E_F): 0.519 states/eV/atom

***

(11)
Entry from Alexandria via LeMat-Bulk: crystalline Pr12In6Ag at its relaxed geometry (GGA-PBE).

a = 8.3479 Å, b = 8.3479 Å, c = 8.3479 Å
α = 89.16°, β = 89.16°, γ = 89.16°
Element x y z (fractional)
In  0.2588  0.1148  0.7454
In  0.1148  0.7454  0.2588
In  0.2546  0.7412  0.8852
In  0.8852  0.2546  0.7412
In  0.7454  0.2588  0.1148
In  0.7412  0.8852  0.2546
Pr  0.1271  0.3762  0.0594
Pr  0.6238  0.9406  0.8729
Pr  0.9406  0.8729  0.6238
Pr  0.5678  0.1883  0.4764
Pr  0.3762  0.0594  0.1271
Pr  0.1883  0.4764  0.5678
Pr  0.0594  0.1271  0.3762
Pr  0.5236  0.4322  0.8117
Pr  0.8117  0.5236  0.4322
Pr  0.4322  0.8117  0.5236
Pr  0.4764  0.5678  0.1883
Pr  0.8729  0.6238  0.9406
Ag  0.0000  0.0000  0.0000

* symmetry: No. 148
* calculated formation energy: -0.240 eV per atom
* raw total energy: -4.27 eV per atom
* DOS(E_F): 1.157 states/eV/atom

***

(12)
Entry from Alexandria via LeMat-Bulk: crystalline MnSi2SN at its relaxed geometry (GGA-PBE).

a = 6.8455 Å, b = 2.8290 Å, c = 8.3985 Å
α = 90.00°, β = 111.61°, γ = 90.00°
Each line ends with the local moment (μB).
Element x y z (fractional)
Mn  0.2609  0.5000  0.0714  1.14
Mn  0.2609  0.0000  0.5714  1.14
S  0.0143  0.0000  0.9667  -0.03
S  0.0143  0.5000  0.4667  -0.03
N  0.5134  0.5000  0.3043  -0.01
N  0.5134  0.0000  0.8043  -0.01
Si  0.7114  0.5000  0.2083  -0.01
Si  0.7114  0.0000  0.7083  -0.01
Si  0.4598  0.0000  0.4104  -0.03
Si  0.4598  0.5000  0.9104  -0.03

* symmetry: No. 8
* energy above the lowest structure with this stoichiometry: 0.3286 eV per atom
* raw total energy: -6.62 eV per atom
* raw formation energy: -0.13 eV per atom
* DOS(E_F): 0.363 states/eV/atom

***

Calculated ρ (g/cm3), listed in the same order as above: 7.00 5.60 3.65 2.64 12.96 20.56 10.83 6.15 4.55 7.37 7.10 3.45